[1]
Compound: SrAcGeBr
Source: the Alexandria database
Functional: GGA-PBE
Structure: relaxed

Uncorrected formation energy: -981 meV/atom
Relative energy among the computed polymorphs: 0.0 meV per atom
Energy: -4.001 eV per atom

Geometry as CIF:
```
data_SrAcGeBr
_symmetry_space_group_name_H-M 'F -4 3 m'
_symmetry_Int_Tables_number 216
_symmetry_space_group_name_Hall 'F -4 2 3'
_cell_length_a 7.861
_cell_length_b 7.861
_cell_length_c 7.861
_cell_angle_alpha 90.00
_cell_angle_beta 90.00
_cell_angle_gamma 90.00
loop_
_atom_site_label
_atom_site_type_symbol
_atom_site_fract_x
_atom_site_fract_y
_atom_site_fract_z
_atom_site_occupancy
Sr1 Sr 0.000 0.000 0.000 1
Ac1 Ac 0.000 0.000 0.500 1
Ge1 Ge 0.250 0.250 0.250 1
Br1 Br 0.250 0.250 0.750 1
```

=====

[2]
Compound: SrAcGeBr
Source: the Alexandria database
Functional: GGA-PBE
Structure: relaxed

Uncorrected formation energy: -968 meV/atom
Relative energy among the computed polymorphs: 12.5 meV per atom
Energy: -3.989 eV per atom

Geometry as CIF:
```
data_SrAcGeBr
_symmetry_space_group_name_H-M 'A m m 2'
_symmetry_Int_Tables_number 38
_symmetry_space_group_name_Hall 'A 2 -2'
_cell_length_a 6.379
_cell_length_b 5.406
_cell_length_c 9.481
_cell_angle_alpha 90.00
_cell_angle_beta 90.00
_cell_angle_gamma 90.00
loop_
_atom_site_label
_atom_site_type_symbol
_atom_site_fract_x
_atom_site_fract_y
_atom_site_fract_z
_atom_site_occupancy
Sr1 Sr 0.000 0.000 0.000 1
Ac1 Ac 0.500 0.000 0.669 1
Ge1 Ge 0.500 0.000 0.000 1
Br1 Br 0.000 0.000 0.669 1
```

=====

[3]
Compound: Ac3GeTeBr
Source: the Alexandria database
Functional: GGA-PBE
Structure: relaxed

Uncorrected formation energy: -1122 meV/atom
Energy: -4.749 eV per atom

Geometry as CIF:
```
data_Ac3GeTeBr
_symmetry_space_group_name_H-M 'P 1 21/m 1'
_symmetry_Int_Tables_number 11
_symmetry_space_group_name_Hall '-P 2yb'
_cell_length_a 9.562
_cell_length_b 4.602
_cell_length_c 10.895
_cell_angle_alpha 90.00
_cell_angle_beta 93.78
_cell_angle_gamma 90.00
loop_
_atom_site_label
_atom_site_type_symbol
_atom_site_fract_x
_atom_site_fract_y
_atom_site_fract_z
_atom_site_occupancy
Ac1 Ac 0.100 0.250 0.353 1
Ac2 Ac 0.158 0.250 0.928 1
Ac3 Ac 0.367 0.750 0.639 1
Ge1 Ge 0.136 0.250 0.647 1
Te1 Te 0.366 0.750 0.330 1
Br1 Br 0.377 0.750 0.931 1
```

=====

[4]
Compound: Ac4GeTeBr2
Source: the Alexandria database
Functional: GGA-PBE
Structure: relaxed

Uncorrected formation energy: -1234 meV/atom
Energy: -4.676 eV per atom

Geometry as CIF:
```
data_Ac4GeTeBr2
_symmetry_space_group_name_H-M 'P 1 2/m 1'
_symmetry_Int_Tables_number 10
_symmetry_space_group_name_Hall '-P 2y'
_cell_length_a 7.688
_cell_length_b 4.595
_cell_length_c 8.386
_cell_angle_alpha 90.00
_cell_angle_beta 109.28
_cell_angle_gamma 90.00
loop_
_atom_site_label
_atom_site_type_symbol
_atom_site_fract_x
_atom_site_fract_y
_atom_site_fract_z
_atom_site_occupancy
Ac1 Ac 0.229 0.000 0.222 1
Ac2 Ac 0.241 0.500 0.771 1
Ge1 Ge 0.000 0.500 0.000 1
Te1 Te 0.000 0.000 0.500 1
Br1 Br 0.500 0.000 0.000 1
Br2 Br 0.500 0.500 0.500 1
```

=====

[5]
Compound: Ac4TlGeBr2
Source: the Alexandria database
Functional: GGA-PBE
Structure: relaxed

Uncorrected formation energy: -945 meV/atom
Energy: -4.291 eV per atom

Geometry as CIF:
```
data_Ac4TlGeBr2
_symmetry_space_group_name_H-M 'P 1 2/m 1'
_symmetry_Int_Tables_number 10
_symmetry_space_group_name_Hall '-P 2y'
_cell_length_a 7.846
_cell_length_b 4.703
_cell_length_c 8.330
_cell_angle_alpha 90.00
_cell_angle_beta 110.45
_cell_angle_gamma 90.00
loop_
_atom_site_label
_atom_site_type_symbol
_atom_site_fract_x
_atom_site_fract_y
_atom_site_fract_z
_atom_site_occupancy
Ac1 Ac 0.227 0.000 0.234 1
Ac2 Ac 0.235 0.500 0.758 1
Tl1 Tl 0.000 0.000 0.500 1
Ge1 Ge 0.000 0.500 0.000 1
Br1 Br 0.500 0.000 0.000 1
Br2 Br 0.500 0.500 0.500 1
```

=====

[6]
Compound: Ac8ZnGe3Br4
Source: the Alexandria database
Functional: GGA-PBE
Structure: relaxed

Uncorrected formation energy: -1016 meV/atom
Energy: -4.434 eV per atom

Geometry as CIF:
```
data_Ac8ZnGe3Br4
_symmetry_space_group_name_H-M 'R -3 m'
_symmetry_Int_Tables_number 166
_symmetry_space_group_name_Hall '-R 3 2"'
_cell_length_a 9.2873
_cell_length_b 9.2873
_cell_length_c 22.2479
_cell_angle_alpha 90.00
_cell_angle_beta 90.00
_cell_angle_gamma 120.00
loop_
_atom_site_label
_atom_site_type_symbol
_atom_site_fract_x
_atom_site_fract_y
_atom_site_fract_z
_atom_site_occupancy
Ac1 Ac 0.0000 0.0000 0.2406 1
Ac2 Ac 0.0001 0.5000 0.2410 1
Zn1 Zn 0.0000 0.0000 0.5000 1
Ge1 Ge 0.0000 0.5000 0.5000 1
Br1 Br 0.0000 0.0000 0.0000 1
Br2 Br 0.0000 0.5000 0.0000 1
```

=====

Computed DOS at the Fermi energy (states/eV/cell) in order:
2.13 2.41 5.34 4.18 4.19 27.51